No. 1
A crystal of CrIn3 relaxed with PBEsol. Source: Alexandria via LeMat-Bulk, functional SCAN.

POSCAR file:
```
CrIn3
1.0
3.288 0.000 0.000
-1.644 2.847 0.000
0.000 0.000 27.801
Cr In
3 9
direct
0.000 0.000 0.000 Cr
0.333 0.667 0.667 Cr
0.667 0.333 0.333 Cr
0.000 0.000 0.258 In
0.000 0.000 0.500 In
0.000 0.000 0.742 In
0.333 0.667 0.167 In
0.333 0.667 0.409 In
0.333 0.667 0.925 In
0.667 0.333 0.075 In
0.667 0.333 0.591 In
0.667 0.333 0.833 In
```

As for the energy of formation from the pure elements: 0.69 eV per formula unit. As for the space group: R-3m.



No. 2
A crystal of Ca2MgTa relaxed with PBEsol. Source: Alexandria via LeMat-Bulk, functional SCAN.

POSCAR file:
```
Ca2MgTa
1.0
5.700 0.000 0.000
0.000 5.700 0.000
0.000 0.000 3.195
Ca Mg Ta
2 1 1
direct
0.000 0.500 0.000 Ca
0.500 0.000 0.000 Ca
0.000 0.000 0.500 Mg
0.500 0.500 0.500 Ta
```

As for the energy of formation from the pure elements: 2.80 eV per formula unit. As for the space group: P4/mmm.



No. 3
A crystal of YAlIn2 relaxed with PBEsol. Source: Alexandria via LeMat-Bulk, functional SCAN.

POSCAR file:
```
YAlIn2
1.0
3.339 0.000 0.000
-1.670 2.892 0.000
0.000 0.000 29.426
Y Al In
3 3 6
direct
0.000 0.000 0.000 Y
0.333 0.667 0.667 Y
0.667 0.333 0.333 Y
0.000 0.000 0.500 Al
0.333 0.667 0.167 Al
0.667 0.333 0.833 Al
0.000 0.000 0.244 In
0.000 0.000 0.756 In
0.333 0.667 0.423 In
0.333 0.667 0.910 In
0.667 0.333 0.090 In
0.667 0.333 0.577 In
```

As for the energy of formation from the pure elements: -0.39 eV per formula unit. As for the space group: R-3m.



No. 4
A crystal of Sb2MoSe relaxed with PBEsol. Source: Alexandria via LeMat-Bulk, functional SCAN.

POSCAR file:
```
Sb2MoSe
1.0
3.320 0.000 0.000
-1.660 2.875 0.000
0.000 0.000 27.340
Sb Mo Se
6 3 3
direct
0.000 0.000 0.000 Sb
0.000 0.000 0.241 Sb
0.333 0.667 0.667 Sb
0.333 0.667 0.907 Sb
0.667 0.333 0.333 Sb
0.667 0.333 0.574 Sb
0.000 0.000 0.501 Mo
0.333 0.667 0.167 Mo
0.667 0.333 0.834 Mo
0.000 0.000 0.775 Se
0.333 0.667 0.442 Se
0.667 0.333 0.108 Se
```

For the raw formation energy, the calculation gives -0.13 eV/f.u. As for the space group: R3m.



| no. | density of states at the Fermi level (states/eV per cell) | theoretical density (kg/m3) |
| --- | --- | --- |
| 1 | 4.5 | 7589 |
| 2 | 3.7 | 4565 |
| 3 | 9.3 | 6057 |
| 4 | 3.1 | 7989 |